# 1
First-principles (PBE) data for an optimized crystal structure of Sr2Al4Ga3Cu, as listed in Alexandria via LeMat-Bulk.

```
10
Lattice="4.333 0.000 0.000 0.000 4.333 0.000 0.000 0.000 11.127" Properties=species:S:1:pos:R:3 pbc="T T T"
Sr 2.166 0.000 2.825
Sr 0.000 2.166 8.302
Al 2.166 2.166 0.000
Al 0.000 0.000 0.000
Al 2.166 0.000 6.961
Al 0.000 2.166 4.165
Ga 0.000 0.000 5.563
Ga 2.166 0.000 9.566
Ga 0.000 2.166 1.560
Cu 2.166 2.166 5.563
```

Summary:
The value obtained for the total energy is -3.487 eV/atom. Its crystal system is tetragonal. The density of states at the Fermi level is 0.76 states/eV per cell.



# 2
First-principles (PBE) data for an optimized crystal structure of Sr2AlGaCu6, as listed in Alexandria via LeMat-Bulk.

```
10
Lattice="-5.427 2.991 2.373 1.364 -2.130 5.881 0.192 4.402 5.044" Properties=species:S:1:pos:R:3 pbc="T T T"
Sr -3.375 3.330 5.501
Sr -0.497 1.934 7.796
Al 0.000 0.000 0.000
Ga -2.032 0.431 4.127
Cu -0.330 2.096 4.282
Cu -2.687 4.308 11.336
Cu -0.296 -0.312 5.572
Cu -3.576 5.576 7.726
Cu -1.185 0.956 1.962
Cu -3.542 3.168 9.015
```

Summary:
The value obtained for the total energy is -3.596 eV/atom. Its crystal system is triclinic. The density of states at the Fermi level is 4.68 states/eV per cell.



Number 1: formation energy from the elements -336 meV per atom. Number 2: formation energy from the elements -125 meV per atom.